(1)
Cs3Tl2F9 after structural relaxation, computed with GGA-PBE.

* calculated total energy: -55.78 eV/f.u.

a b c (Å): 6.6074 6.6074 17.4734
angles (deg): 90.00 90.00 120.00
Space group P6_3/mmc (No. 194)
Inequivalent atoms, fractional coordinates:
Cs: 0.0000 0.0000 0.2500
Cs: 0.3333 0.6667 0.0691
Tl: 0.3333 0.6667 0.6568
F: 0.0476 0.5238 0.7500
F: 0.1733 0.3467 0.5947

=====

(2)
CsTlF2 after structural relaxation, computed with GGA-PBE.

* calculated total energy: -15.54 eV/f.u.
* energy above the most stable polymorph in this dataset: 59 meV per atom

a b c (Å): 4.0414 4.0414 21.6211
angles (deg): 90.00 90.00 120.00
Space group R3m (No. 160, hexagonal axes)
Inequivalent atoms, fractional coordinates:
Cs: 0.0000 0.0000 0.0000
Tl: 0.0000 0.0000 0.1696
F: 0.0000 0.0000 0.4224
F: 0.0000 0.0000 0.5804

=====

Which of these has the lowest calculated total energy? Cs3Tl2F9

=====

Look up the calculated total energy of the second one. -15.54 eV/f.u.